# PBE-GGA BaSb2ICl, optimized geometry
data_BaSb2ICl
_chemical_formula_sum 'Ba1 Sb2 I1 Cl1'
_cell_length_a 7.078
_cell_length_b 7.078
_cell_length_c 6.480
_cell_angle_alpha 90.00
_cell_angle_beta 90.00
_cell_angle_gamma 90.00
_symmetry_space_group_name_H-M 'P 1'
_symmetry_Int_Tables_number 1
loop_
_symmetry_equiv_pos_as_xyz
'x,y,z'
loop_
_atom_site_label
_atom_site_fract_x
_atom_site_fract_y
_atom_site_fract_z
Ba1 0.000 0.000 0.000
Sb1 0.000 0.500 0.000
Sb2 0.500 0.000 0.000
I1 0.000 0.000 0.500
Cl1 0.500 0.500 0.500
# ΔE_f (raw) in eV/atom: 0.3595
# Offset from the most stable computed form in meV per atom: 693